# Sc2InRh2

A relaxed Sc2InRh2 crystal (PBE, Alexandria via LeMat-Bulk).

Geometry as POSCAR:
```
Sc2InRh2
1.0
-2.1432 2.1432 5.6078
2.1432 -2.1432 5.6078
2.1432 2.1432 -5.6078
Sc In Rh
2 1 2
direct
0.2500 0.7500 0.5000
0.7500 0.2500 0.5000
0.0000 0.0000 0.0000
0.3877 0.3877 0.0000
0.6123 0.6123 0.0000
```

Values from the calculation:
- energy (eV per atom) = -6.477
- space-group type = I4/mmm